Here is an optimized crystal structure of KZnIrAuO from Alexandria. Energies are from GGA-PBE.

Unit cell a=2.8498 b=4.5181 c=8.1390 alpha=101.40 beta=99.90 gamma=90.00
Last column: nearest neighbours and their distance in Å.
Positions (direct):
Au1 0.8510 0.7670 0.6275  4 Ir 2.67-2.70, 2 Au 2.85
K1 0.0643 0.6926 0.0525  4 O 2.84-2.92, 2 K 2.85
Ir1 0.3654 0.2735 0.6570  1 Zn 2.46, 4 Au 2.67-2.70
Zn1 0.2101 0.2957 0.3525  2 O 1.91
O1 0.6307 0.2532 0.1902  2 Zn 1.91

Results
Relative energy among the computed polymorphs ... 0.039 eV/atom
Energy relative to the elements, uncorrected ... -33.25 kJ/mol of atoms
Crystal system ... triclinic